# MnP6W3O24

A relaxed structure of MnP6W3O24 (GGA+U, the Alexandria database).

Computed properties:
Spin magnetization (μB/atom): 0.206

Unit cell a=8.7636 b=8.7636 c=22.2635 alpha=90.00 beta=90.00 gamma=120.00
Space group R3 (No. 146, hexagonal axes)
Unique sites:
Mn: 0.0000 0.0000 0.0000 (multiplicity 3)
P: 0.0062 0.7197 0.3884 (multiplicity 9)
P: 0.0500 0.3803 0.5570 (multiplicity 9)
W: 0.0000 0.0000 0.2824 (multiplicity 3)
W: 0.0000 0.0000 0.4962 (multiplicity 3)
W: 0.0000 0.0000 0.7820 (multiplicity 3)
O: 0.0172 0.2003 0.8309 (multiplicity 9)
O: 0.0208 0.8344 0.4451 (multiplicity 9)
O: 0.0506 0.8419 0.3323 (multiplicity 9)
O: 0.0635 0.8373 0.0535 (multiplicity 9)
O: 0.1538 0.4785 0.2102 (multiplicity 9)
O: 0.1629 0.6860 0.3953 (multiplicity 9)
O: 0.1707 0.4408 0.6095 (multiplicity 9)
O: 0.1724 0.4612 0.8978 (multiplicity 9)

***

# K2MnOsO6

A relaxed structure of K2MnOsO6 (GGA+U, the Alexandria database).

Computed properties:
D(E_F) (states/eV/cell): 5.766
Spin magnetization (μB/atom): 0.100

Unit cell a=5.9992 b=5.9992 c=5.0627 alpha=90.00 beta=90.00 gamma=120.00
Space group P-3m1 (No. 164)
Unique sites:
K: 0.3333 0.6667 0.2047 (multiplicity 2)
Mn: 0.0000 0.0000 0.0000 (multiplicity 1)
Os: 0.0000 0.0000 0.5000 (multiplicity 1)
O: 0.1424 0.2848 0.7505 (multiplicity 6)

***

| no. | uncorrected energy (eV per formula unit) |
| --- | --- |
| 1 | -252.41 |
| 2 | -63.48 |